{
  "formula": "Ti2TcH2",
  "functional": "PBEsol",
  "state": "relaxed",
  "space_group": "I4/mmm, No. 139",
  "total_energy_ev_per_atom": -7.3990,
  "dos_at_fermi_per_ev_atom": 0.318,
  "lattice_angstrom": [[3.1072, 0.0000, 0.0000], [0.0000, 3.1072, 0.0000], [-1.5536, -1.5536, 5.1464]],
  "species": ["Ti", "H", "Tc", "Ti", "H"],
  "fractional_positions": [[0.6436, 0.6436, 0.2873], [0.2500, 0.7500, 0.5000], [0.0000, 0.0000, 0.0000], [0.3564, 0.3564, 0.7127], [0.7500, 0.2500, 0.5000]]
}



{
  "formula": "Tc2H2W",
  "functional": "PBEsol",
  "state": "relaxed",
  "space_group": "I4/mmm, No. 139",
  "total_energy_ev_per_atom": -8.4953,
  "dos_at_fermi_per_ev_atom": 0.624,
  "lattice_angstrom": [[2.8849, 0.0000, 0.0000], [0.0000, 2.8849, 0.0000], [-1.4424, -1.4424, 5.9515]],
  "species": ["H", "Tc", "Tc", "W", "H"],
  "fractional_positions": [[0.7500, 0.2500, 0.5000], [0.6495, 0.6495, 0.2990], [0.3505, 0.3505, 0.7010], [0.0000, 0.0000, 0.0000], [0.2500, 0.7500, 0.5000]]
}



{
  "formula": "TcHW3",
  "functional": "PBEsol",
  "state": "relaxed",
  "space_group": "Pm-3m, No. 221",
  "total_energy_ev_per_atom": -8.4489,
  "dos_at_fermi_per_ev_atom": 1.146,
  "lattice_angstrom": [[-2.1882, 3.4769, -2.1824], [2.0304, -1.2327, -3.9997], [-3.5677, -2.8340, -0.9377]],
  "species": ["W", "Tc", "W", "H", "W"],
  "fractional_positions": [[0.0000, 0.5000, 0.0000], [0.0000, 0.0000, 0.0000], [0.5000, 0.0000, 0.0000], [0.5000, 0.5000, 0.5000], [0.0000, 0.0000, 0.5000]]
}



{
  "formula": "YTcHW2",
  "functional": "PBEsol",
  "state": "relaxed",
  "space_group": "P4/mmm, No. 123",
  "total_energy_ev_per_atom": -8.7052,
  "dos_at_fermi_per_ev_atom": 1.223,
  "lattice_angstrom": [[-2.1057, -0.5619, 2.5632], [3.6221, -2.2670, 2.4788], [1.3131, 4.3108, 2.0237]],
  "species": ["W", "Y", "H", "W", "Tc"],
  "fractional_positions": [[0.0000, 0.0000, 0.5000], [0.5000, 0.5000, 0.5000], [0.5000, 0.0000, 0.0000], [0.0000, 0.5000, 0.0000], [0.0000, 0.0000, 0.0000]]
}



{
  "formula": "ZnTc2H2",
  "functional": "PBEsol",
  "state": "relaxed",
  "space_group": "I4/mmm, No. 139",
  "total_energy_ev_per_atom": -6.0710,
  "dos_at_fermi_per_ev_atom": 0.446,
  "lattice_angstrom": [[-2.7876, -0.7203, -1.0995], [-1.0359, -0.3830, 2.8773], [0.6270, 5.2706, -0.7233]],
  "species": ["H", "Tc", "H", "Tc", "Zn"],
  "fractional_positions": [[0.7500, 0.2500, 0.5000], [0.6532, 0.6532, 0.3065], [0.2500, 0.7500, 0.5000], [0.3468, 0.3468, 0.6935], [0.0000, 0.0000, 0.0000]]
}



{
  "formula": "TeH2",
  "functional": "PBEsol",
  "state": "relaxed",
  "space_group": "P2_1/m, No. 11",
  "total_energy_ev_per_atom": -3.2871,
  "dos_at_fermi_per_ev_atom": 0.103,
  "lattice_angstrom": [[-0.9973, -0.1275, 2.9481], [4.9117, -0.6101, 1.6351], [0.7313, 6.3866, 0.1863]],
  "species": ["H", "Te", "H", "Te", "H", "H"],
  "fractional_positions": [[0.9561, 0.2500, 0.8587], [0.5070, 0.7500, 0.5941], [0.9158, 0.7500, 0.0363], [0.4930, 0.2500, 0.4059], [0.0439, 0.7500, 0.1413], [0.0842, 0.2500, 0.9637]]
}



{
  "formula": "TiTe3H",
  "functional": "PBEsol",
  "state": "relaxed",
  "space_group": "Pm-3m, No. 221",
  "total_energy_ev_per_atom": -3.9192,
  "dos_at_fermi_per_ev_atom": 1.301,
  "lattice_angstrom": [[4.6567, 0.0000, 0.0000], [0.0000, 4.6567, 0.0000], [0.0000, 0.0000, 4.6567]],
  "species": ["Te", "Te", "Ti", "Te", "H"],
  "fractional_positions": [[0.5000, 0.0000, 0.0000], [0.0000, 0.5000, 0.0000], [0.5000, 0.5000, 0.5000], [0.0000, 0.0000, 0.5000], [0.0000, 0.0000, 0.0000]]
}



{
  "formula": "TiTe2H",
  "functional": "PBEsol",
  "state": "relaxed",
  "space_group": "R-3m, No. 166",
  "total_energy_ev_per_atom": -4.9714,
  "dos_at_fermi_per_ev_atom": 0.532,
  "lattice_angstrom": [[3.8060, 0.0000, 0.0000], [1.9030, 3.2961, 0.0000], [1.9030, 1.0987, 7.1921]],
  "species": ["H", "Te", "Ti", "Te"],
  "fractional_positions": [[0.0000, 0.0000, 0.0000], [0.0908, 0.0908, 0.7275], [0.5000, 0.5000, 0.5000], [0.9092, 0.9092, 0.2725]]
}



{
  "formula": "TlTe3H",
  "functional": "PBEsol",
  "state": "relaxed",
  "space_group": "Pm-3m, No. 221",
  "total_energy_ev_per_atom": -2.1926,
  "dos_at_fermi_per_ev_atom": 1.516,
  "lattice_angstrom": [[5.7345, 0.0000, 0.0000], [0.0000, 5.7345, 0.0000], [0.0000, 0.0000, 5.7345]],
  "species": ["Te", "H", "Tl", "Te", "Te"],
  "fractional_positions": [[0.0000, 0.0000, 0.5000], [0.5000, 0.5000, 0.5000], [0.0000, 0.0000, 0.0000], [0.5000, 0.0000, 0.0000], [0.0000, 0.5000, 0.0000]]
}



{
  "formula": "Te2HW2",
  "functional": "PBEsol",
  "state": "relaxed",
  "space_group": "I4/mmm, No. 139",
  "total_energy_ev_per_atom": -6.7326,
  "dos_at_fermi_per_ev_atom": 0.795,
  "lattice_angstrom": [[-4.9868, -0.3848, 0.9474], [3.1014, -0.3819, 4.0187], [-2.0891, 3.7826, 2.6910]],
  "species": ["H", "W", "W", "Te", "Te"],
  "fractional_positions": [[0.0000, 0.0000, 0.0000], [0.0000, 0.3305, 0.6695], [0.0000, 0.6695, 0.3305], [0.5000, 0.7500, 0.7500], [0.5000, 0.2500, 0.2500]]
}



{
  "formula": "TeH3W",
  "functional": "PBEsol",
  "state": "relaxed",
  "space_group": "Pm-3m, No. 221",
  "total_energy_ev_per_atom": -4.8147,
  "dos_at_fermi_per_ev_atom": 0.573,
  "lattice_angstrom": [[-2.0017, 0.0459, 3.0922], [2.8487, -1.4062, 1.8650], [1.2036, 3.4046, 0.7286]],
  "species": ["H", "W", "Te", "H", "H"],
  "fractional_positions": [[0.0000, 0.0000, 0.5000], [0.0000, 0.0000, 0.0000], [0.5000, 0.5000, 0.5000], [0.5000, 0.0000, 0.0000], [0.0000, 0.5000, 0.0000]]
}



{
  "formula": "YTeH3",
  "functional": "PBEsol",
  "state": "relaxed",
  "space_group": "Pm-3m, No. 221",
  "total_energy_ev_per_atom": -4.1567,
  "dos_at_fermi_per_ev_atom": 0.246,
  "lattice_angstrom": [[-1.7801, 1.2625, 3.4041], [-0.4589, -3.8391, 1.1838], [3.6015, 0.1348, 1.8334]],
  "species": ["Y", "H", "Te", "H", "H"],
  "fractional_positions": [[0.0000, 0.0000, 0.0000], [0.0000, 0.5000, 0.0000], [0.5000, 0.5000, 0.5000], [0.0000, 0.0000, 0.5000], [0.5000, 0.0000, 0.0000]]
}



{
  "formula": "YTe2H",
  "functional": "PBEsol",
  "state": "relaxed",
  "space_group": "P1, No. 1",
  "total_energy_ev_per_atom": -5.1313,
  "lattice_angstrom": [[4.4303, 0.0216, -0.0027], [0.6551, 6.0312, 0.0040], [1.3060, 2.5629, 7.5198]],
  "species": ["H", "Te", "Y", "Te", "H", "Te", "Y", "Te"],
  "fractional_positions": [[0.2771, 0.1168, 0.1405], [0.1164, 0.5364, 0.2812], [0.2115, 0.5226, 0.6681], [0.7224, 0.8383, 0.4455], [0.1965, 0.9952, 0.1872], [0.6582, 0.4086, 0.9501], [0.6371, 0.8670, 0.0511], [0.2132, 0.9925, 0.7592]]
}



{
  "formula": "Zn2TeH2",
  "functional": "PBEsol",
  "state": "relaxed",
  "space_group": "I4/mmm, No. 139",
  "total_energy_ev_per_atom": -2.3540,
  "dos_at_fermi_per_ev_atom": 0.334,
  "lattice_angstrom": [[-2.8786, 1.2426, -1.3885], [0.3264, -2.1795, -2.6271], [-1.7124, -3.3394, 4.7956]],
  "species": ["H", "Zn", "Te", "Zn", "H"],
  "fractional_positions": [[0.2500, 0.7500, 0.5000], [0.3339, 0.3339, 0.6679], [0.0000, 0.0000, 0.0000], [0.6661, 0.6661, 0.3321], [0.7500, 0.2500, 0.5000]]
}



{
  "formula": "Zn2TeH",
  "functional": "PBEsol",
  "state": "relaxed",
  "space_group": "I-42d, No. 122",
  "relative_energy_ev_per_atom": 0.000,
  "total_energy_ev_per_atom": -2.3976,
  "dos_at_fermi_per_ev_atom": 0.296,
  "lattice_angstrom": [[-3.2262, -3.2976, -0.6558], [3.3151, -3.2714, 0.1411], [-0.8058, 2.7833, 6.5232]],
  "species": ["Zn", "H", "Zn", "Zn", "Te", "Te", "H", "Zn"],
  "fractional_positions": [[0.7363, 0.3750, 0.2500], [0.7500, 0.2500, 0.5000], [0.1250, 0.2636, 0.7500], [0.5137, 0.8750, 0.2500], [0.2500, 0.7500, 0.5000], [0.0000, 0.0000, 0.0000], [0.5000, 0.5000, 0.0000], [0.6250, 0.4864, 0.7500]]
}



{
  "formula": "Zn2TeH",
  "functional": "PBEsol",
  "state": "relaxed",
  "space_group": "Fm-3m, No. 225",
  "relative_energy_ev_per_atom": 0.359,
  "total_energy_ev_per_atom": -2.0382,
  "dos_at_fermi_per_ev_atom": 0.375,
  "lattice_angstrom": [[-0.0976, 3.7777, 2.5343], [-3.6847, 0.9790, 2.4834], [0.1691, -0.2992, 4.5370]],
  "species": ["Zn", "H", "Zn", "Te"],
  "fractional_positions": [[0.2500, 0.2500, 0.2500], [0.0000, 0.0000, 0.0000], [0.7500, 0.7500, 0.7500], [0.5000, 0.5000, 0.5000]]
}



{
  "formula": "ZnTeH2",
  "functional": "PBEsol",
  "state": "relaxed",
  "space_group": "Fm-3m, No. 225",
  "total_energy_ev_per_atom": -2.2638,
  "dos_at_fermi_per_ev_atom": 0.262,
  "lattice_angstrom": [[-2.4229, -2.1458, 2.4636], [1.5129, -3.1171, 2.1307], [0.4169, 0.3062, 4.0345]],
  "species": ["Zn", "H", "Te", "H"],
  "fractional_positions": [[0.0000, 0.0000, 0.0000], [0.2500, 0.2500, 0.2500], [0.5000, 0.5000, 0.5000], [0.7500, 0.7500, 0.7500]]
}



{
  "formula": "Zr3TeH",
  "functional": "PBEsol",
  "state": "relaxed",
  "space_group": "Pm-3m, No. 221",
  "total_energy_ev_per_atom": -7.3184,
  "dos_at_fermi_per_ev_atom": 0.787,
  "lattice_angstrom": [[-0.3855, -2.8183, 3.3459], [2.0318, -3.0900, -2.3686], [3.8743, 1.3401, 1.5751]],
  "species": ["H", "Zr", "Zr", "Zr", "Te"],
  "fractional_positions": [[0.0000, 0.0000, 0.0000], [0.0000, 0.5000, 0.0000], [0.5000, 0.0000, 0.0000], [0.0000, 0.0000, 0.5000], [0.5000, 0.5000, 0.5000]]
}



{
  "formula": "Ti2H",
  "functional": "PBEsol",
  "state": "relaxed",
  "space_group": "Pn-3m, No. 224",
  "total_energy_ev_per_atom": -6.8671,
  "dos_at_fermi_per_ev_atom": 0.884,
  "lattice_angstrom": [[-3.7565, 0.1942, 1.8086], [-1.6194, -2.2469, -3.1223], [0.8284, -3.5120, 2.0976]],
  "species": ["Ti", "Ti", "Ti", "H", "H", "Ti"],
  "fractional_positions": [[0.7500, 0.2500, 0.2500], [0.2500, 0.7500, 0.2500], [0.2500, 0.2500, 0.7500], [0.0000, 0.0000, 0.0000], [0.5000, 0.5000, 0.5000], [0.7500, 0.7500, 0.7500]]
}



{
  "formula": "TiH2",
  "functional": "PBEsol",
  "state": "relaxed",
  "space_group": "Fm-3m, No. 225",
  "total_energy_ev_per_atom": -5.5311,
  "dos_at_fermi_per_ev_atom": 0.595,
  "lattice_angstrom": [[-1.3551, 1.8345, 2.0716], [-2.3211, -1.0701, 1.7206], [0.4188, -0.5031, 3.0108]],
  "species": ["Ti", "H", "H"],
  "fractional_positions": [[0.0000, 0.0000, 0.0000], [0.7500, 0.7500, 0.7500], [0.2500, 0.2500, 0.2500]]
}